Computed, not measured: a relaxed structure of MoCNO2 at the GGA+U level of DFT.

Properties
Energy = -6.1767 eV/atom
Magnetic moment = 1.6 μB per formula unit
ρ = 5.83 g/cm³

Cell lengths 4.1402, 4.1402, 2.5601 Å; angles 90.00, 90.00, 90.00 degrees
Space group P4/mmm (No. 123)
Symmetry-distinct sites (fractional):
Mo1 0.0000 0.0000 0.0000 [1 per cell]
C1 0.5000 0.5000 0.5000 [1 per cell]
N1 0.5000 0.5000 0.0000 [1 per cell]
O1 0.0000 0.5000 0.5000 [2 per cell]